{
  "formula": "Ac2ZrCd",
  "functional": "PBE",
  "state": "relaxed",
  "lattice_angstrom": [[3.748, 0.000, 0.000], [0.000, 3.748, 0.000], [0.000, 0.000, 9.487]],
  "species": ["Cd", "Ac", "Ac", "Zr"],
  "fractional_positions": [[0.500, 0.500, 0.000], [0.000, 0.000, 0.752], [0.000, 0.000, 0.248], [0.500, 0.500, 0.500]],
  "dos_at_fermi_per_ev_atom": 1.219,
  "magmom_total_mub_per_fu": 0.00,
  "e_above_lowest_polymorph_mev_per_atom": 0,
  "mass_density_g_cm3": 8.193,
  "formation_energy_ev_per_atom": 0.05
}

{
  "formula": "AlRu2Pb",
  "functional": "PBE",
  "state": "relaxed",
  "lattice_angstrom": [[-5.214, -0.667, -1.996], [-3.616, -3.829, 1.967], [3.316, 4.399, 1.123]],
  "species": ["Al", "Pb", "Ru", "Ru"],
  "fractional_positions": [[0.524, 0.524, 0.000], [0.266, 0.766, 0.500], [0.726, 0.226, 0.500], [0.984, 0.984, 0.000]],
  "dos_at_fermi_per_ev_atom": 1.034,
  "magmom_total_mub_per_fu": 0.02,
  "e_above_lowest_polymorph_mev_per_atom": 204,
  "mass_density_g_cm3": 10.832,
  "formation_energy_ev_per_atom": 0.21
}

{
  "formula": "Cr2GaSbPb",
  "functional": "PBE",
  "state": "relaxed",
  "lattice_angstrom": [[4.876, 0.000, 0.000], [0.000, 5.326, 0.000], [0.000, 0.000, 4.876]],
  "species": ["Cr", "Cr", "Pb", "Sb", "Ga"],
  "fractional_positions": [[0.500, 0.000, 0.000], [0.000, 0.000, 0.500], [0.000, 0.500, 0.000], [0.500, 0.500, 0.500], [0.000, 0.000, 0.000]],
  "dos_at_fermi_per_ev_atom": 0.356,
  "magmom_total_mub_per_fu": 7.50,
  "e_form_raw_ev_per_atom": 0.80,
  "mass_density_g_cm3": 6.593
}

{
  "formula": "YMg2TlCo",
  "functional": "PBE",
  "state": "relaxed",
  "lattice_angstrom": [[4.961, 0.000, 0.000], [0.000, 4.961, 0.000], [0.000, 0.000, 4.940]],
  "species": ["Y", "Tl", "Mg", "Mg", "Co"],
  "fractional_positions": [[0.000, 0.000, 0.500], [0.500, 0.500, 0.500], [0.500, 0.000, 0.000], [0.000, 0.500, 0.000], [0.000, 0.000, 0.000]],
  "dos_at_fermi_per_ev_atom": 0.819,
  "magmom_total_mub_per_fu": 0.00,
  "mass_density_g_cm3": 5.474,
  "formation_energy_ev_per_atom": 0.02
}

{
  "formula": "Nd5Y4Ho2",
  "functional": "PBE",
  "state": "relaxed",
  "lattice_angstrom": [[3.568, 0.000, -0.572], [-0.286, 8.656, -1.784], [0.093, -0.533, 11.993]],
  "species": ["Y", "Y", "Y", "Y", "Nd", "Nd", "Nd", "Nd", "Nd", "Ho", "Ho"],
  "fractional_positions": [[0.681, 0.454, 0.362], [0.045, 0.366, 0.089], [0.319, 0.546, 0.638], [0.955, 0.634, 0.911], [0.136, 0.090, 0.271], [0.774, 0.185, 0.547], [0.500, 0.000, 0.000], [0.226, 0.815, 0.453], [0.864, 0.910, 0.729], [0.410, 0.277, 0.820], [0.590, 0.723, 0.180]],
  "dos_at_fermi_per_ev_atom": 1.448,
  "magmom_total_mub_per_fu": 0.00,
  "e_above_lowest_polymorph_mev_per_atom": 0,
  "mass_density_g_cm3": 6.359,
  "formation_energy_ev_per_atom": 0.02
}

{
  "formula": "LaTcRu",
  "functional": "PBE",
  "state": "relaxed",
  "lattice_angstrom": [[5.519, 0.205, 0.282], [-2.514, 4.917, -0.282], [2.975, 1.697, 4.342]],
  "species": ["Tc", "Tc", "La", "La", "Ru", "Ru"],
  "fractional_positions": [[0.000, 0.500, 0.500], [0.500, 0.500, 0.000], [0.750, 0.873, 0.377], [0.250, 0.127, 0.623], [0.500, 0.000, 0.000], [0.000, 0.500, 0.000]],
  "dos_at_fermi_per_ev_atom": 1.046,
  "magmom_total_mub_per_fu": 0.00,
  "e_above_lowest_polymorph_mev_per_atom": 0,
  "mass_density_g_cm3": 9.577,
  "formation_energy_ev_per_atom": -0.07
}

Repeat the first record exactly.
{
  "formula": "Ac2ZrCd",
  "functional": "PBE",
  "state": "relaxed",
  "lattice_angstrom": [[3.748, 0.000, 0.000], [0.000, 3.748, 0.000], [0.000, 0.000, 9.487]],
  "species": ["Cd", "Ac", "Ac", "Zr"],
  "fractional_positions": [[0.500, 0.500, 0.000], [0.000, 0.000, 0.752], [0.000, 0.000, 0.248], [0.500, 0.500, 0.500]],
  "dos_at_fermi_per_ev_atom": 1.219,
  "magmom_total_mub_per_fu": 0.00,
  "e_above_lowest_polymorph_mev_per_atom": 0,
  "mass_density_g_cm3": 8.193,
  "formation_energy_ev_per_atom": 0.05
}

What did the fourth record say?
{
  "formula": "YMg2TlCo",
  "functional": "PBE",
  "state": "relaxed",
  "lattice_angstrom": [[4.961, 0.000, 0.000], [0.000, 4.961, 0.000], [0.000, 0.000, 4.940]],
  "species": ["Y", "Tl", "Mg", "Mg", "Co"],
  "fractional_positions": [[0.000, 0.000, 0.500], [0.500, 0.500, 0.500], [0.500, 0.000, 0.000], [0.000, 0.500, 0.000], [0.000, 0.000, 0.000]],
  "dos_at_fermi_per_ev_atom": 0.819,
  "magmom_total_mub_per_fu": 0.00,
  "mass_density_g_cm3": 5.474,
  "formation_energy_ev_per_atom": 0.02
}

Repeat the sixth record exactly.
{
  "formula": "LaTcRu",
  "functional": "PBE",
  "state": "relaxed",
  "lattice_angstrom": [[5.519, 0.205, 0.282], [-2.514, 4.917, -0.282], [2.975, 1.697, 4.342]],
  "species": ["Tc", "Tc", "La", "La", "Ru", "Ru"],
  "fractional_positions": [[0.000, 0.500, 0.500], [0.500, 0.500, 0.000], [0.750, 0.873, 0.377], [0.250, 0.127, 0.623], [0.500, 0.000, 0.000], [0.000, 0.500, 0.000]],
  "dos_at_fermi_per_ev_atom": 1.046,
  "magmom_total_mub_per_fu": 0.00,
  "e_above_lowest_polymorph_mev_per_atom": 0,
  "mass_density_g_cm3": 9.577,
  "formation_energy_ev_per_atom": -0.07
}